AcCu2Si | PBE-GGA | optimized geometry

Cell lengths 4.1746, 4.1746, 10.6439 Å; angles 90.00, 90.00, 120.00 degrees
With the nearest neighbours (Å) after each atom.
Space group P6_3/mmc (No. 194)
One atom of each set of equivalent atoms:
Ac 0.3333 0.6667 0.2500 x2  8 Cu 3.15-3.24
Cu 0.3333 0.6667 0.5461 x4  3 Si 2.46, 3 Cu 2.60
Si 0.0000 0.0000 0.0000 x2  6 Cu 2.46

Electronic total energy, eV for the cell shown: -38.1

Ba5In3 | PBE-GGA | optimized geometry

Cell lengths 9.0591, 9.0591, 17.8665 Å; angles 90.00, 90.00, 90.00 degrees
With the nearest neighbours (Å) after each atom.
Space group P4/ncc (No. 130, origin choice 2)
One atom of each set of equivalent atoms:
Ba 0.0621 0.5831 0.1038 x16  5 In 3.70-3.83, 1 Ba 4.15
Ba 0.2500 0.2500 0.2314 x4  5 In 3.67-3.90
In 0.1370 0.6370 0.7500 x8  1 In 2.90
In 0.2500 0.2500 0.0128 x4  9 Ba 3.82-3.90

Energy of formation from the pure elements, kJ/mol of formula units: -244

Rb2Hg2Se | PBE-GGA | optimized geometry

Cell lengths 8.5701, 8.5701, 5.1028 Å; angles 90.00, 90.00, 90.00 degrees
With the nearest neighbours (Å) after each atom.
Space group P4/mbm (No. 127)
One atom of each set of equivalent atoms:
Rb 0.1837 0.3163 0.0000 x4  6 Hg 3.42-3.72
Hg 0.1279 0.6279 0.5000 x4  1 Hg 3.10, 2 Se 3.37, 2 Rb 3.42
Se 0.0000 0.0000 0.5000 x2  4 Hg 3.37

Electronic total energy, eV for the cell shown: -16.3

KSr3Rh | PBE-GGA | optimized geometry

Cell lengths 20.7296, 10.9592, 7.7010 Å; angles 90.00, 98.00, 90.00 degrees
With the nearest neighbours (Å) after each atom.
Space group C2/c (No. 15)
One atom of each set of equivalent atoms:
K 0.0000 0.1043 0.2500 x4  3 K 3.88-4.17, 2 Sr 4.32
K 0.0000 0.2498 0.7500 x4  3 K 3.88-4.17, 6 Sr 3.96-4.23
Sr 0.1096 0.4403 0.4401 x8  1 Rh 2.97
Sr 0.1709 0.2427 0.0536 x8  2 Rh 3.03-3.06
Sr 0.2068 0.1055 0.5694 x8  3 Rh 3.17-3.33
Rh 0.2095 0.3831 0.7445 x8  6 Sr 2.97-3.33

Energy of formation from the pure elements, kJ/mol of formula units: -33

BaTiSe2N | PBE-GGA | optimized geometry

Cell lengths 5.8727, 5.8727, 4.2904 Å; angles 90.00, 90.00, 90.00 degrees
With the nearest neighbours (Å) after each atom.
Space group P4/mmm (No. 123)
One atom of each set of equivalent atoms:
Ba 0.0000 0.0000 0.0000 x1  2 N 2.15
Ti 0.5000 0.5000 0.5000 x1  8 Se 3.64
Se 0.0000 0.5000 0.0000 x2  2 Ba 2.94
N 0.0000 0.0000 0.5000 x1  2 Ba 2.15

Electronic total energy, eV for the cell shown: -19.3

Cd4Sb2SeI | PBE-GGA | optimized geometry

Cell lengths 8.4706, 9.6415, 13.7035 Å; angles 90.00, 90.00, 90.00 degrees
With the nearest neighbours (Å) after each atom.
Space group Fmm2 (No. 42)
One atom of each set of equivalent atoms:
Cd 0.0000 0.2136 0.0000 x8  1 Se 2.67, 2 Sb 2.83
Cd 0.2294 0.0000 0.7377 x8  1 Se 2.71, 2 Sb 2.80
Sb 0.2500 0.2500 0.1347 x8  4 Cd 2.80-2.83
Se 0.0000 0.0000 0.8760 x4  4 Cd 2.67-2.71
I 0.0000 0.0000 0.3851 x4  4 Cd 3.06-3.18

Electronic total energy, eV for the cell shown: -75.1

Sc2RuC | PBE-GGA | optimized geometry

Cell lengths 3.2118, 3.2118, 24.7211 Å; angles 90.00, 90.00, 120.00 degrees
With the nearest neighbours (Å) after each atom.
Space group R-3m (No. 166, hexagonal axes)
One atom of each set of equivalent atoms:
Sc 0.0000 0.0000 0.0878 x6  1 C 2.17
Ru 0.0000 0.0000 0.5000 x3  6 Sc 2.69
C 0.0000 0.0000 0.0000 x3  2 Sc 2.17

Energy of formation from the pure elements, kJ/mol of formula units: 317

PrZnAg2 | PBE-GGA | optimized geometry

Cell lengths 4.5961, 9.5638, 16.4244 Å; angles 90.00, 90.00, 90.00 degrees
With the nearest neighbours (Å) after each atom.
Space group Immm (No. 71)
One atom of each set of equivalent atoms:
Pr 0.0000 0.0000 0.2082 x4  9 Ag 3.13-3.41, 6 Zn 3.35-3.40
Pr 0.0000 0.2643 0.0000 x4  2 Ag 3.14, 4 Zn 3.41
Zn 0.0000 0.2633 0.3472 x8  5 Ag 2.57-2.82
Ag 0.0000 0.0000 0.4133 x4  2 Zn 2.74, 1 Ag 2.85
Ag 0.0000 0.3543 0.1838 x8  3 Zn 2.61-2.82, 1 Ag 2.79
Ag 0.0000 0.5000 0.4210 x4  2 Zn 2.57, 1 Ag 2.60

Energy of formation from the pure elements, kJ/mol of formula units: -84